## YScAs2 (GGA-PBE)

Data for a relaxed YScAs2 crystal.

Formation energy, meV per atom: -953
M_tot, μB/f.u.: 0.00
Space group: No. 123
Uncorrected energy, eV per atom: -6.48
Energy above the lowest structure with this stoichiometry, meV/atom: 500

```
YScAs2
1.0
4.9121 0.0000 0.0000
0.0000 4.9121 0.0000
0.0000 0.0000 3.5394
Y Sc As
1 1 2
Cartesian
0.0000 0.0000 0.0000
2.4561 2.4561 0.0000
0.0000 2.4561 1.7697
2.4561 0.0000 1.7697
```

---

## LiAs3Ru (GGA-PBE)

Data for a relaxed LiAs3Ru crystal.

Formation energy, meV per atom: 313
M_tot, μB/f.u.: 0.00
Space group: No. 221
Uncorrected energy, eV per atom: -4.71

```
LiAs3Ru
1.0
4.8356 0.0000 0.0000
0.0000 4.8356 0.0000
0.0000 0.0000 4.8356
Li As Ru
1 3 1
Cartesian
0.0000 0.0000 0.0000
0.0000 2.4178 2.4178
2.4178 0.0000 2.4178
2.4178 2.4178 0.0000
2.4178 2.4178 2.4178
```

---

## CaBiPb2I (GGA-PBE)

Data for a relaxed CaBiPb2I crystal.

E_form (uncorrected), eV/f.u.: 2.1
M_tot, μB/f.u.: 0.00
Space group: No. 123
Uncorrected energy, eV per atom: -2.56

```
CaBiPb2I
1.0
5.9845 0.0000 0.0000
0.0000 5.9845 0.0000
0.0000 0.0000 6.0062
Ca Bi Pb I
1 1 2 1
Cartesian
0.0000 0.0000 0.0000
2.9923 2.9923 0.0000
0.0000 2.9923 3.0031
2.9923 0.0000 3.0031
2.9923 2.9923 3.0031
```